{"formula": "CePmHgRu", "functional": "PBE", "state": "relaxed", "lattice_angstrom": [[-4.8823, -1.4844, 0.6829], [-1.0262, -4.5801, 2.1158], [-1.9718, -0.2581, 4.7489]], "species": ["Pm", "Ru", "Ce", "Hg"], "frac_coords": [[0.0000, 0.0000, 0.0000], [0.2500, 0.2500, 0.2500], [0.5000, 0.5000, 0.5000], [0.7500, 0.7500, 0.7500]], "e_form_ev_per_atom": -0.222, "total_magnetization_mub_per_atom": 0.115, "relative_energy_ev_per_atom": 0.1009}